No. 1
Here is Mg6AlCo after structural relaxation from Alexandria. Energies are from PBE-GGA.

```
Mg6AlCo
1.0
3.034 -5.289 0.000
3.034 5.289 0.000
0.000 0.000 4.766
Mg Co Al
6 1 1
Direct
0.332 0.668 0.000
0.350 0.176 0.000
0.167 0.833 0.500
0.157 0.331 0.500
0.669 0.843 0.500
0.824 0.650 0.000
0.685 0.315 0.500
0.817 0.183 0.000
```

Computed properties:
- Energy relative to the elements: 0.6 eV per formula unit
- Total moment: 0.44 μB/f.u.
- Distance to the lowest polymorph of the same formula: 0 meV/atom
- Fermi-level density of states: 4.75 states/eV/f.u.
- SG: Amm2



No. 2
Here is MgAlCo after structural relaxation from Alexandria. Energies are from PBE-GGA.

```
MgAlCo
1.0
-1.077 -2.565 -3.068
0.254 -4.098 0.542
-3.453 -2.266 0.311
Mg Al Co
1 1 1
Direct
0.000 0.000 0.000
0.500 0.500 0.500
0.750 0.750 0.750
```

Computed properties:
- Energy relative to the elements: 0.2 eV per formula unit
- Total moment: 0.00 μB/f.u.
- Distance to the lowest polymorph of the same formula: 270 meV/atom
- Fermi-level density of states: 1.63 states/eV/f.u.
- SG: F-43m



No. 3
Here is MgAl2Co2 after structural relaxation from Alexandria. Energies are from PBE-GGA.

```
MgAl2Co2
1.0
4.044 0.000 0.000
0.000 4.044 0.000
2.022 2.022 4.768
Mg Al Co
1 2 2
Direct
0.000 0.000 0.000
0.635 0.635 0.730
0.365 0.365 0.270
0.750 0.250 0.500
0.250 0.750 0.500
```

Computed properties:
- Energy relative to the elements: -0.1 eV per formula unit
- Total moment: 0.00 μB/f.u.
- Distance to the lowest polymorph of the same formula: 315 meV/atom
- Fermi-level density of states: 1.48 states/eV/f.u.
- SG: I4/mmm



No. 4
Here is Mg2AlCo after structural relaxation from Alexandria. Energies are from PBE-GGA.

```
Mg2AlCo
1.0
-3.627 5.240 -5.796
-4.885 -6.508 -2.826
-5.903 -0.068 -2.769
Al Mg Co
2 4 2
Direct
0.500 0.500 0.000
0.250 0.750 0.500
0.754 0.125 0.250
0.996 0.625 0.250
0.875 0.004 0.750
0.375 0.246 0.750
0.000 0.000 0.000
0.750 0.250 0.500
```

Computed properties:
- Energy relative to the elements: 1.3 eV per formula unit
- Total moment: 0.00 μB/f.u.
- Fermi-level density of states: 1.00 states/eV/f.u.
- SG: I-42d



No. 5
Here is MgAlCo2 after structural relaxation from Alexandria. Energies are from PBE-GGA.

```
MgAlCo2
1.0
4.208 0.000 0.000
2.104 3.644 0.000
2.104 1.215 3.435
Co Mg Al
2 1 1
Direct
0.000 0.000 0.000
0.250 0.250 0.250
0.750 0.750 0.750
0.500 0.500 0.500
```

Computed properties:
- Energy relative to the elements: 0.0 eV per formula unit
- Total moment: 2.38 μB/f.u.
- Fermi-level density of states: 4.35 states/eV/f.u.
- SG: F-43m



No. 6
Here is MgAlCo2 after structural relaxation from Alexandria. Energies are from PBE-GGA.

```
MgAlCo2
1.0
8.670 0.000 0.000
8.231 2.723 0.000
8.231 1.326 2.378
Co Mg Al
2 1 1
Direct
0.258 0.258 0.258
0.997 0.997 0.997
0.507 0.507 0.507
0.739 0.739 0.739
```

Computed properties:
- Energy relative to the elements: 0.5 eV per formula unit
- Total moment: 2.73 μB/f.u.
- Fermi-level density of states: 4.74 states/eV/f.u.
- SG: R3m



No. 7
Here is Mg2AlCo after structural relaxation from Alexandria. Energies are from PBE-GGA.

```
Mg2AlCo
1.0
4.285 0.000 0.000
0.000 2.838 0.054
0.000 1.598 5.374
Al Mg Co
1 2 1
Direct
0.500 0.250 0.250
0.000 0.953 0.984
0.000 0.547 0.516
0.500 0.750 0.750
```

Computed properties:
- Energy relative to the elements: 0.5 eV per formula unit
- Total moment: 0.92 μB/f.u.
- Fermi-level density of states: 3.33 states/eV/f.u.
- SG: P2/m



No. 8
Here is MgAlCo2 after structural relaxation from Alexandria. Energies are from PBE-GGA.

```
MgAlCo2
1.0
2.943 0.000 0.000
0.000 2.943 0.000
0.000 0.000 6.391
Mg Co Al
1 2 1
Direct
0.000 0.000 0.471
0.000 0.000 0.011
0.500 0.500 0.216
0.500 0.500 0.802
```

Computed properties:
- Energy relative to the elements: -0.3 eV per formula unit
- Total moment: 2.83 μB/f.u.
- Fermi-level density of states: 2.29 states/eV/f.u.
- SG: P4mm



No. 9
Here is MgAl2Co2 after structural relaxation from Alexandria. Energies are from PBE-GGA.

```
MgAl2Co2
1.0
-0.863 -3.577 -0.965
2.766 0.037 -2.612
4.306 -3.531 1.738
Co Mg Al
2 1 2
Direct
0.393 0.393 0.214
0.607 0.607 0.786
0.000 0.000 0.000
0.750 0.250 0.500
0.250 0.750 0.500
```

Computed properties:
- Energy relative to the elements: -0.6 eV per formula unit
- Total moment: 0.00 μB/f.u.
- Distance to the lowest polymorph of the same formula: 227 meV/atom
- Fermi-level density of states: 2.96 states/eV/f.u.
- SG: I4/mmm



No. 10
Here is MgAlCo after structural relaxation from Alexandria. Energies are from PBE-GGA.

```
MgAlCo
1.0
5.303 0.005 -0.005
4.446 2.890 -0.003
0.857 0.253 2.874
Co Al Mg
1 1 1
Direct
0.351 0.351 0.649
0.969 0.969 0.031
0.681 0.681 0.319
```

Computed properties:
- Energy relative to the elements: -0.6 eV per formula unit
- Total moment: 0.40 μB/f.u.
- Distance to the lowest polymorph of the same formula: 0 meV/atom
- Fermi-level density of states: 1.51 states/eV/f.u.
- SG: I4mm



No. 11
Here is Mg3AlCo after structural relaxation from Alexandria. Energies are from PBE-GGA.

```
Mg3AlCo
1.0
4.780 0.000 0.000
0.000 4.780 0.000
0.000 0.000 4.780
Mg Al Co
3 1 1
Direct
0.000 0.000 0.500
0.500 0.000 0.000
0.000 0.500 0.000
0.500 0.500 0.500
0.000 0.000 0.000
```

Computed properties:
- Energy relative to the elements: 2.1 eV per formula unit
- Total moment: 0.00 μB/f.u.
- Distance to the lowest polymorph of the same formula: 0 meV/atom
- Fermi-level density of states: 2.52 states/eV/f.u.
- SG: Pm-3m



No. 12
Here is MgAlCo after structural relaxation from Alexandria. Energies are from PBE-GGA.

```
MgAlCo
1.0
-2.460 -1.172 0.889
1.545 -1.288 -2.042
3.207 -3.308 4.512
Al Mg Co
1 1 1
Direct
0.000 0.000 0.041
0.667 0.333 0.640
0.333 0.667 0.319
```

Computed properties:
- Energy relative to the elements: 0.1 eV per formula unit
- Total moment: 0.73 μB/f.u.
- Distance to the lowest polymorph of the same formula: 250 meV/atom
- Fermi-level density of states: 2.53 states/eV/f.u.
- SG: P3m1



No. 13
Here is Mg16Al12Co after structural relaxation from Alexandria. Energies are from PBE-GGA.

```
Mg16Al12Co
1.0
5.211 -7.306 0.001
5.211 7.306 0.001
-5.035 0.000 7.429
Mg Al Co
16 12 1
Direct
0.989 0.591 0.318
0.353 0.999 0.999
0.681 0.272 0.681
0.010 0.010 0.010
0.689 0.434 0.434
0.434 0.434 0.689
0.318 0.989 0.591
0.999 0.999 0.353
0.681 0.681 0.272
0.591 0.318 0.989
0.434 0.689 0.434
0.591 0.989 0.318
0.318 0.591 0.989
0.999 0.353 0.999
0.272 0.681 0.681
0.989 0.318 0.591
0.190 0.190 0.795
0.795 0.190 0.190
0.347 0.156 0.347
0.636 0.994 0.815
0.994 0.636 0.815
0.815 0.994 0.636
0.190 0.795 0.190
0.347 0.347 0.156
0.994 0.815 0.636
0.156 0.347 0.347
0.815 0.636 0.994
0.636 0.815 0.994
0.737 0.737 0.737
```

Computed properties:
- Energy relative to the elements: -0.4 eV per formula unit
- Total moment: 0.00 μB/f.u.
- Fermi-level density of states: 12.93 states/eV/f.u.
- SG: R3m



No. 14
Here is MgAlCo2 after structural relaxation from Alexandria. Energies are from PBE-GGA.

```
MgAlCo2
1.0
5.047 -0.005 0.001
2.500 4.385 -0.001
-3.327 -2.960 2.377
Co Mg Al
2 1 1
Direct
0.769 0.269 0.500
0.992 0.992 0.000
0.510 0.510 0.000
0.229 0.729 0.500
```

Computed properties:
- Energy relative to the elements: -0.5 eV per formula unit
- Total moment: 1.97 μB/f.u.
- Fermi-level density of states: 3.43 states/eV/f.u.
- SG: Imm2



No. 15
Here is Mg14AlCo after structural relaxation from Alexandria. Energies are from PBE-GGA.

```
Mg14AlCo
1.0
3.100 -5.370 0.000
3.100 5.370 0.000
0.000 0.000 10.080
Mg Co Al
14 1 1
Direct
0.161 0.321 0.737
0.679 0.839 0.737
0.161 0.839 0.263
0.502 0.498 0.500
0.161 0.321 0.263
0.499 0.501 0.000
0.997 0.498 0.500
0.667 0.333 0.751
0.002 0.501 0.000
0.502 0.003 0.500
0.499 0.998 0.000
0.679 0.839 0.263
0.667 0.333 0.249
0.161 0.839 0.737
0.000 0.000 0.500
0.000 0.000 0.000
```

Computed properties:
- Energy relative to the elements: 0.9 eV per formula unit
- Total moment: 0.43 μB/f.u.
- Distance to the lowest polymorph of the same formula: 8 meV/atom
- Fermi-level density of states: 8.07 states/eV/f.u.
- SG: P-6m2



No. 16
Here is Mg2AlCo after structural relaxation from Alexandria. Energies are from PBE-GGA.

```
Mg2AlCo
1.0
-4.319 -2.381 0.663
3.035 -2.454 -3.087
1.122 -1.415 2.228
Al Co Mg
1 1 2
Direct
0.500 0.000 0.500
0.000 0.500 0.500
0.500 0.500 0.000
0.000 0.000 0.000
```

Computed properties:
- Energy relative to the elements: 0.6 eV per formula unit
- Total moment: 1.09 μB/f.u.
- Fermi-level density of states: 4.31 states/eV/f.u.
- SG: Cmmm



No. 17
Here is Mg2AlCo after structural relaxation from Alexandria. Energies are from PBE-GGA.

```
Mg2AlCo
1.0
4.742 -0.040 0.000
1.261 4.572 0.000
-3.001 -2.266 2.889
Mg Co Al
2 1 1
Direct
0.250 0.750 0.500
0.000 0.000 0.000
0.750 0.250 0.500
0.500 0.500 0.000
```

Computed properties:
- Energy relative to the elements: 0.0 eV per formula unit
- Total moment: 0.00 μB/f.u.
- Fermi-level density of states: 2.54 states/eV/f.u.
- SG: I-4m2



No. 18
Here is Mg2AlCo after structural relaxation from Alexandria. Energies are from PBE-GGA.

```
Mg2AlCo
1.0
3.042 0.000 0.000
0.000 3.042 0.000
0.000 0.000 7.177
Mg Al Co
2 1 1
Direct
0.000 0.000 0.948
0.500 0.500 0.276
0.000 0.000 0.560
0.500 0.500 0.716
```

Computed properties:
- Energy relative to the elements: -0.5 eV per formula unit
- Total moment: 0.45 μB/f.u.
- Fermi-level density of states: 1.73 states/eV/f.u.
- SG: P4mm



No. 19
Here is Mg2AlCo after structural relaxation from Alexandria. Energies are from PBE-GGA.

```
Mg2AlCo
1.0
-5.252 -0.608 0.430
-4.169 -2.898 -1.533
-1.233 -3.035 2.862
Co Mg Al
1 2 1
Direct
0.750 0.750 0.750
0.474 0.474 0.526
0.026 0.026 0.974
0.250 0.250 0.250
```

Computed properties:
- Energy relative to the elements: 0.0 eV per formula unit
- Total moment: 0.63 μB/f.u.
- Fermi-level density of states: 1.44 states/eV/f.u.
- SG: C2/m



No. 20
Here is MgAl4Co after structural relaxation from Alexandria. Energies are from PBE-GGA.

```
MgAl4Co
1.0
0.000 3.666 3.666
3.666 0.000 3.666
3.666 3.666 0.000
Al Mg Co
4 1 1
Direct
0.625 0.625 0.126
0.126 0.625 0.625
0.625 0.126 0.625
0.625 0.625 0.625
0.000 0.000 0.000
0.250 0.250 0.250
```

Computed properties:
- Energy relative to the elements: 1.0 eV per formula unit
- Total moment: 1.10 μB/f.u.
- Fermi-level density of states: 2.39 states/eV/f.u.
- SG: F-43m



No. 21
Here is MgAl2CoNi after structural relaxation from Alexandria. Energies are from PBE-GGA.

```
MgAl2CoNi
1.0
4.405 0.000 0.000
0.000 4.615 0.000
0.000 0.000 4.405
Al Mg Co Ni
2 1 1 1
Direct
0.000 0.000 0.500
0.500 0.000 0.000
0.000 0.500 0.000
0.500 0.500 0.500
0.000 0.000 0.000
```

Computed properties:
- Energy relative to the elements: 1.8 eV per formula unit
- Total moment: 1.66 μB/f.u.
- Fermi-level density of states: 7.28 states/eV/f.u.
- SG: P4/mmm